[1]
# Ga2SbSeCl PBE relaxed
# E_form (uncorrected)   0.7 eV per formula unit
data_Ga2SbSeCl
_chemical_formula_sum 'Ga2 Sb1 Se1 Cl1'
_symmetry_space_group_name_H-M 'P 4/m m m'
_symmetry_Int_Tables_number 123
_symmetry_space_group_name_Hall '-P 4 2'
_cell_length_a 5.7389
_cell_length_b 5.7389
_cell_length_c 5.1816
_cell_angle_alpha 90.00
_cell_angle_beta 90.00
_cell_angle_gamma 90.00
loop_
_atom_site_label
_atom_site_type_symbol
_atom_site_fract_x
_atom_site_fract_y
_atom_site_fract_z
Ga1 Ga 0.0000 0.5000 0.0000
Sb1 Sb 0.0000 0.0000 0.0000
Se1 Se 0.0000 0.0000 0.5000
Cl1 Cl 0.5000 0.5000 0.5000

=====

[2]
# Re2NiPb PBE relaxed
# DFT formation energy   14.52 kcal/mol of atoms
data_Re2NiPb
_chemical_formula_sum 'Re4 Ni2 Pb2'
_symmetry_space_group_name_H-M 'C 1 2/m 1'
_symmetry_Int_Tables_number 12
_symmetry_space_group_name_Hall '-C 2y'
_cell_length_a 8.9758
_cell_length_b 3.1748
_cell_length_c 4.8721
_cell_angle_alpha 90.00
_cell_angle_beta 100.43
_cell_angle_gamma 90.00
loop_
_atom_site_label
_atom_site_type_symbol
_atom_site_fract_x
_atom_site_fract_y
_atom_site_fract_z
Re1 Re 0.2359 0.0000 0.1852
Ni1 Ni 0.0000 0.5000 0.0000
Pb1 Pb 0.0000 0.0000 0.5000

=====

[3]
# CaPmNCl PBE relaxed
# E_form (uncorrected)   -6.0 eV per formula unit
data_CaPmNCl
_chemical_formula_sum 'Ca3 Pm3 N3 Cl3'
_symmetry_space_group_name_H-M 'R 3 m'
_symmetry_Int_Tables_number 160
_symmetry_space_group_name_Hall 'R 3 -2"'
_cell_length_a 3.6469
_cell_length_b 3.6469
_cell_length_c 20.6730
_cell_angle_alpha 90.00
_cell_angle_beta 90.00
_cell_angle_gamma 120.00
loop_
_atom_site_label
_atom_site_type_symbol
_atom_site_fract_x
_atom_site_fract_y
_atom_site_fract_z
Ca1 Ca 0.0000 0.0000 0.0000
Pm1 Pm 0.0000 0.0000 0.7929
N1 N 0.0000 0.0000 0.3944
Cl1 Cl 0.0000 0.0000 0.5663

=====

[4]
# ErAlSi PBE relaxed
# E_form (uncorrected)   -1.7 eV per formula unit
data_ErAlSi
_chemical_formula_sum 'Er4 Al4 Si4'
_symmetry_space_group_name_H-M 'I 41 m d'
_symmetry_Int_Tables_number 109
_symmetry_space_group_name_Hall 'I 4bw -2'
_cell_length_a 4.0664
_cell_length_b 4.0664
_cell_length_c 14.4532
_cell_angle_alpha 90.00
_cell_angle_beta 90.00
_cell_angle_gamma 90.00
loop_
_atom_site_label
_atom_site_type_symbol
_atom_site_fract_x
_atom_site_fract_y
_atom_site_fract_z
Er1 Er 0.0000 0.0000 0.0000
Al1 Al 0.0000 0.0000 0.4157
Si1 Si 0.0000 0.0000 0.5800

=====

[5]
# Ce2Sb2HN PBE relaxed
# E   -37.12 eV per formula unit
data_Ce2Sb2HN
_chemical_formula_sum 'Ce8 Sb8 H4 N4'
_symmetry_space_group_name_H-M 'I b a m'
_symmetry_Int_Tables_number 72
_symmetry_space_group_name_Hall '-I 2 2c'
_cell_length_a 5.6608
_cell_length_b 15.3575
_cell_length_c 5.7005
_cell_angle_alpha 90.00
_cell_angle_beta 90.00
_cell_angle_gamma 90.00
loop_
_atom_site_label
_atom_site_type_symbol
_atom_site_fract_x
_atom_site_fract_y
_atom_site_fract_z
Ce1 Ce 0.2253 0.0809 0.0000
Sb1 Sb 0.2355 0.3050 0.0000
H1 H 0.0000 0.5000 0.2500
N1 N 0.0000 0.0000 0.2500

=====

[6]
# Ca2CS PBE relaxed
# E_form (uncorrected)   -0.9 eV per formula unit
data_Ca2CS
_chemical_formula_sum 'Ca8 C4 S4'
_symmetry_space_group_name_H-M 'I -4 2 d'
_symmetry_Int_Tables_number 122
_symmetry_space_group_name_Hall 'I -4 2bw'
_cell_length_a 6.8800
_cell_length_b 6.8800
_cell_length_c 7.8281
_cell_angle_alpha 90.00
_cell_angle_beta 90.00
_cell_angle_gamma 90.00
loop_
_atom_site_label
_atom_site_type_symbol
_atom_site_fract_x
_atom_site_fract_y
_atom_site_fract_z
Ca1 Ca 0.2212 0.7500 0.1250
C1 C 0.0000 0.0000 0.0000
S1 S 0.0000 0.0000 0.5000

=====

[7]
# Cu2RhAu PBE relaxed
# DFT formation energy   1.17 kcal/mol of atoms
data_Cu2RhAu
_chemical_formula_sum 'Cu4 Rh2 Au2'
_symmetry_space_group_name_H-M 'C m m m'
_symmetry_Int_Tables_number 65
_symmetry_space_group_name_Hall '-C 2 2'
_cell_length_a 5.7119
_cell_length_b 7.0904
_cell_length_c 2.7888
_cell_angle_alpha 90.00
_cell_angle_beta 90.00
_cell_angle_gamma 90.00
loop_
_atom_site_label
_atom_site_type_symbol
_atom_site_fract_x
_atom_site_fract_y
_atom_site_fract_z
Cu1 Cu 0.2500 0.2500 0.0000
Rh1 Rh 0.0000 0.0000 0.5000
Au1 Au 0.0000 0.5000 0.5000

=====

[8]
# Nd2GeSbPt6 PBE relaxed
# E_form (uncorrected)   -8.2 eV per formula unit
data_Nd2GeSbPt6
_chemical_formula_sum 'Nd4 Ge2 Sb2 Pt12'
_symmetry_space_group_name_H-M 'P m m n'
_symmetry_Int_Tables_number 59
_cell_length_a 5.5867
_cell_length_b 8.6247
_cell_length_c 8.8487
_cell_angle_alpha 90.00
_cell_angle_beta 90.00
_cell_angle_gamma 90.00
loop_
_symmetry_equiv_pos_as_xyz
'x,y,z'
'-x,-y,-z'
'-x+1/2,-y+1/2,z'
'x+1/2,y+1/2,-z'
'x+1/2,-y,-z'
'-x+1/2,y,z'
'-x,y+1/2,-z'
'x,-y+1/2,z'
loop_
_atom_site_label
_atom_site_type_symbol
_atom_site_fract_x
_atom_site_fract_y
_atom_site_fract_z
Nd1 Nd 0.2500 0.0076 0.2356
Ge1 Ge 0.2500 0.7500 0.7527
Sb1 Sb 0.2500 0.2500 0.7741
Pt1 Pt 0.0020 0.2500 0.4940
Pt2 Pt 0.0037 0.7500 0.9804
Pt3 Pt 0.2500 0.9996 0.6053